1.
LiCaCrRe2: relaxed, PBE.

Geometry as extended XYZ:
```
5
Lattice="4.3581 0.0000 0.0000 0.0000 4.3581 0.0000 0.0000 0.0000 4.2367" Properties=species:S:1:pos:R:3 pbc="T T T"
Li 0.0000 0.0000 0.0000
Ca 2.1790 2.1790 2.1183
Cr 0.0000 0.0000 2.1183
Re 0.0000 2.1790 0.0000
Re 2.1790 0.0000 0.0000
```

Properties
Space group ... No. 123
Magnetization ... 0.00 μB per formula unit
DFT formation energy ... 1.57 eV per atom

2.
LiCa2CrRe: relaxed, PBE.

Geometry as extended XYZ:
```
5
Lattice="5.1073 0.0000 0.0000 0.0000 5.1073 0.0000 0.0000 0.0000 4.4637" Properties=species:S:1:pos:R:3 pbc="T T T"
Li 0.0000 0.0000 0.0000
Ca 0.0000 2.5537 0.0000
Ca 2.5537 0.0000 0.0000
Cr 0.0000 0.0000 2.2318
Re 2.5537 2.5537 2.2318
```

Properties
Space group ... No. 123
Magnetization ... 6.09 μB per formula unit
DFT formation energy ... 1.47 eV per atom

3.
SrLi2CaCr: relaxed, PBE.

Geometry as extended XYZ:
```
5
Lattice="5.0082 0.0000 0.0000 0.0000 5.0082 0.0000 0.0000 0.0000 6.0148" Properties=species:S:1:pos:R:3 pbc="T T T"
Sr 0.0000 0.0000 0.0000
Li 0.0000 2.5041 0.0000
Li 2.5041 0.0000 0.0000
Ca 0.0000 0.0000 3.0074
Cr 2.5041 2.5041 3.0074
```

Properties
Space group ... No. 123
Magnetization ... 0.82 μB per formula unit
DFT formation energy ... 1.75 eV per atom

4.
LiCaTa2Cr: relaxed, PBE.

Geometry as extended XYZ:
```
5
Lattice="4.5754 0.0000 0.0000 0.0000 4.5754 0.0000 0.0000 0.0000 4.4070" Properties=species:S:1:pos:R:3 pbc="T T T"
Li 0.0000 0.0000 0.0000
Ca 0.0000 0.0000 2.2035
Ta 0.0000 2.2877 0.0000
Ta 2.2877 0.0000 0.0000
Cr 2.2877 2.2877 2.2035
```

Properties
Space group ... No. 123
Magnetization ... 0.00 μB per formula unit
DFT formation energy ... 1.67 eV per atom

5.
Ca3MgCr: relaxed, PBE.

Geometry as extended XYZ:
```
5
Lattice="5.4686 0.0000 0.0000 0.0000 5.4686 0.0000 0.0000 0.0000 5.4686" Properties=species:S:1:pos:R:3 pbc="T T T"
Ca 0.0000 0.0000 2.7343
Ca 0.0000 2.7343 0.0000
Ca 2.7343 0.0000 0.0000
Mg 2.7343 2.7343 2.7343
Cr 0.0000 0.0000 0.0000
```

Properties
Space group ... No. 221
Excess energy over the best structure of this formula in the dataset ... 0 meV/atom
Magnetization ... 0.00 μB per formula unit
DFT formation energy ... 0.79 eV per atom

6.
CaMgCr4: relaxed, PBE.

Geometry as extended XYZ:
```
6
Lattice="0.0000 3.5991 3.5991 3.5991 0.0000 3.5991 3.5991 3.5991 0.0000" Properties=species:S:1:pos:R:3 pbc="T T T"
Ca 0.0000 0.0000 0.0000
Mg 1.7996 1.7996 1.7996
Cr 4.5031 2.6951 2.6951
Cr 2.6951 4.5031 2.6951
Cr 2.6951 2.6951 4.5031
Cr 4.5031 4.5031 4.5031
```

Properties
Space group ... No. 216
Magnetization ... 0.00 μB per formula unit
DFT formation energy ... 0.62 eV per atom

7.
CaMgCr3: relaxed, PBE.

Geometry as extended XYZ:
```
5
Lattice="5.1040 0.0000 0.0000 0.0000 5.1040 0.0000 0.0000 0.0000 5.1040" Properties=species:S:1:pos:R:3 pbc="T T T"
Ca 0.0000 0.0000 0.0000
Mg 2.5520 2.5520 2.5520
Cr 0.0000 2.5520 2.5520
Cr 2.5520 0.0000 2.5520
Cr 2.5520 2.5520 0.0000
```

Properties
Space group ... No. 221
Excess energy over the best structure of this formula in the dataset ... 0 meV/atom
Magnetization ... 13.34 μB per formula unit
DFT formation energy ... 1.30 eV per atom

8.
CaMgCr3: relaxed, PBE.

Geometry as extended XYZ:
```
5
Lattice="4.9635 0.0000 0.0000 0.0000 4.9635 0.0000 0.0000 0.0000 4.9635" Properties=species:S:1:pos:R:3 pbc="T T T"
Ca 0.0000 0.0000 0.0000
Mg 2.4817 2.4817 2.4817
Cr 0.0000 0.0000 2.4817
Cr 0.0000 2.4817 0.0000
Cr 2.4817 0.0000 0.0000
```

Properties
Space group ... No. 221
Excess energy over the best structure of this formula in the dataset ... 617 meV/atom
Magnetization ... 11.89 μB per formula unit
DFT formation energy ... 1.92 eV per atom